No. 1
A plane-wave DFT calculation with meta-GGA SCAN was carried out for a PBEsol-optimized structure of KPuO3.

POSCAR file:
```
KPuO3
1.0
4.225 0.000 0.000
0.000 4.225 0.000
0.000 0.000 4.225
K O Pu
1 3 1
direct
0.000 0.000 0.000 K
0.500 0.500 0.000 O
0.500 0.000 0.500 O
0.000 0.500 0.500 O
0.500 0.500 0.500 Pu
```

Formation energy without anion corrections = -2701 meV/atom
Symmetry = Pm-3m



No. 2
A plane-wave DFT calculation with meta-GGA SCAN was carried out for a PBEsol-optimized structure of Co2S3.

POSCAR file:
```
Co2S3
1.0
5.605 0.000 0.000
2.802 4.854 0.000
2.802 1.618 4.921
S Co
6 4
direct
0.250 0.553 0.250 S
0.947 0.250 0.250 S
0.553 0.947 0.250 S
0.447 0.053 0.750 S
0.053 0.750 0.750 S
0.750 0.447 0.750 S
0.649 0.649 0.053 Co
0.851 0.851 0.447 Co
0.149 0.149 0.553 Co
0.351 0.351 0.947 Co
```

Formation energy without anion corrections = -526 meV/atom
Symmetry = R-3c



No. 3
A plane-wave DFT calculation with meta-GGA SCAN was carried out for a PBEsol-optimized structure of AsIF2.

POSCAR file:
```
AsIF2
1.0
-2.433 3.991 -0.311
-1.193 -1.070 -4.401
-3.816 -4.711 4.672
I As F
2 2 4
direct
0.000 0.000 0.000 I
0.250 0.750 0.500 I
0.500 0.500 0.000 As
0.750 0.250 0.500 As
0.625 0.375 0.750 F
0.125 0.375 0.750 F
0.625 0.875 0.250 F
0.625 0.375 0.250 F
```

Energy relative to the lowest polymorph listed for this composition = 72.7 meV per atom
Formation energy without anion corrections = -819 meV/atom
Symmetry = I4_1/amd



No. 4
A plane-wave DFT calculation with meta-GGA SCAN was carried out for a PBEsol-optimized structure of YTi3Mn.

POSCAR file:
```
YTi3Mn
1.0
-3.098 3.179 1.541
-3.141 -3.416 0.733
1.617 -0.547 4.378
Y Mn Ti
1 1 3
direct
0.000 0.000 0.000 Y
0.500 0.500 0.500 Mn
0.000 0.500 0.000 Ti
0.000 0.000 0.500 Ti
0.500 0.000 0.000 Ti
```

Symmetry = Pm-3m
E_form = 7.56 eV/f.u.



No. 5
A plane-wave DFT calculation with meta-GGA SCAN was carried out for a PBEsol-optimized structure of ZrAs3I.

POSCAR file:
```
ZrAs3I
1.0
5.125 0.000 0.000
0.000 5.125 0.000
0.000 0.000 5.125
I As Zr
1 3 1
direct
0.000 0.000 0.000 I
0.000 0.500 0.000 As
0.000 0.000 0.500 As
0.500 0.000 0.000 As
0.500 0.500 0.500 Zr
```

Formation energy without anion corrections = 1234 meV/atom
Symmetry = Pm-3m



No. 6
A plane-wave DFT calculation with meta-GGA SCAN was carried out for a PBEsol-optimized structure of ZrScIn2.

POSCAR file:
```
ZrScIn2
1.0
-1.066 3.729 3.071
-2.528 -0.869 4.163
2.269 0.319 4.385
Sc Zr In
1 1 2
direct
0.000 0.000 0.000 Sc
0.500 0.500 0.500 Zr
0.250 0.250 0.250 In
0.750 0.750 0.750 In
```

Energy relative to the lowest polymorph listed for this composition = 123.6 meV per atom
Symmetry = Fm-3m
E_form = -1.60 eV/f.u.



No. 7
A plane-wave DFT calculation with meta-GGA SCAN was carried out for a PBEsol-optimized structure of YCoSe2.

POSCAR file:
```
YCoSe2
1.0
-1.226 2.859 -2.273
0.609 -2.204 -3.101
-4.433 -2.099 3.015
Co Se Y
1 2 1
direct
0.250 0.750 0.500 Co
0.000 0.000 0.000 Se
0.750 0.250 0.500 Se
0.500 0.500 0.000 Y
```

Formation energy without anion corrections = -805 meV/atom
Symmetry = I-4m2



No. 8
A plane-wave DFT calculation with meta-GGA SCAN was carried out for a PBEsol-optimized structure of BaSrI4.

POSCAR file:
```
BaSrI4
1.0
5.701 0.000 0.000
2.851 4.937 0.000
2.851 1.646 9.263
I Sr Ba
4 1 1
direct
0.622 0.622 0.134 I
0.872 0.872 0.384 I
0.128 0.128 0.616 I
0.378 0.378 0.866 I
0.500 0.500 0.500 Sr
0.000 0.000 0.000 Ba
```

Formation energy without anion corrections = -1893 meV/atom
Symmetry = R-3m



No. 9
A plane-wave DFT calculation with meta-GGA SCAN was carried out for a PBEsol-optimized structure of Hf3ReS.

POSCAR file:
```
Hf3ReS
1.0
4.613 0.000 0.000
0.000 4.613 0.000
0.000 0.000 4.613
Re S Hf
1 1 3
direct
0.500 0.500 0.500 Re
0.000 0.000 0.000 S
0.000 0.500 0.000 Hf
0.000 0.000 0.500 Hf
0.500 0.000 0.000 Hf
```

Formation energy without anion corrections = -20 meV/atom
Symmetry = Pm-3m



No. 10
A plane-wave DFT calculation with meta-GGA SCAN was carried out for a PBEsol-optimized structure of Cs2Li2Mg.

POSCAR file:
```
Cs2Li2Mg
1.0
-2.237 -1.435 5.794
-3.226 -7.094 -3.002
7.124 -3.986 1.762
Cs Mg Li
4 2 4
direct
0.500 0.188 0.688 Cs
0.500 0.688 0.812 Cs
0.500 0.812 0.312 Cs
0.500 0.312 0.188 Cs
0.000 0.000 0.000 Mg
0.000 0.500 0.500 Mg
0.000 0.364 0.864 Li
0.000 0.864 0.636 Li
0.000 0.636 0.136 Li
0.000 0.136 0.364 Li
```

Energy relative to the lowest polymorph listed for this composition = 0.0 meV per atom
Symmetry = P4/mbm
E_form = 1.18 eV/f.u.



No. 11
A plane-wave DFT calculation with meta-GGA SCAN was carried out for a PBEsol-optimized structure of NiRuAu2.

POSCAR file:
```
NiRuAu2
1.0
2.747 0.000 0.000
1.373 2.379 0.000
1.373 0.793 8.923
Au Ni Ru
2 1 1
direct
0.996 0.996 0.011 Au
0.757 0.757 0.728 Au
0.505 0.505 0.486 Ni
0.242 0.242 0.275 Ru
```

Energy relative to the lowest polymorph listed for this composition = 0.0 meV per atom
Symmetry = R3m
E_form = 0.88 eV/f.u.



No. 12
A plane-wave DFT calculation with meta-GGA SCAN was carried out for a PBEsol-optimized structure of CaSc2Mn.

POSCAR file:
```
CaSc2Mn
1.0
3.187 0.000 0.000
1.594 2.760 0.000
1.594 0.920 10.705
Sc Ca Mn
2 1 1
direct
0.925 0.925 0.225 Sc
0.075 0.075 0.775 Sc
0.500 0.500 0.500 Ca
0.000 0.000 0.000 Mn
```

Energy relative to the lowest polymorph listed for this composition = 324.0 meV per atom
Symmetry = R-3m
E_form = 2.16 eV/f.u.



No. 13
A plane-wave DFT calculation with meta-GGA SCAN was carried out for a PBEsol-optimized structure of SbPb2Cl.

POSCAR file:
```
SbPb2Cl
1.0
4.503 0.000 0.000
2.251 3.900 0.000
2.251 1.300 6.908
Pb Sb Cl
2 1 1
direct
0.753 0.753 0.742 Pb
0.247 0.247 0.258 Pb
0.500 0.500 0.500 Sb
0.000 0.000 0.000 Cl
```

Energy relative to the lowest polymorph listed for this composition = 0.0 meV per atom
Formation energy without anion corrections = -448 meV/atom
Symmetry = R-3m



No. 14
A plane-wave DFT calculation with meta-GGA SCAN was carried out for a PBEsol-optimized structure of TeHAu.

POSCAR file:
```
TeHAu
1.0
4.032 0.203 0.112
0.246 6.413 -0.112
-2.001 -3.074 5.350
H Te Au
2 2 2
direct
0.549 0.507 0.065 H
0.451 0.493 0.935 H
0.133 0.959 0.761 Te
0.867 0.041 0.239 Te
0.000 0.500 0.500 Au
0.500 0.000 0.500 Au
```

Symmetry = P-1



No. 15
A plane-wave DFT calculation with meta-GGA SCAN was carried out for a PBEsol-optimized structure of MgZn2Mo.

POSCAR file:
```
MgZn2Mo
1.0
2.767 0.000 0.057
0.000 3.870 0.000
-0.124 0.000 5.719
Mg Mo Zn
1 1 2
direct
0.500 0.500 0.000 Mg
0.500 0.500 0.500 Mo
0.000 0.000 0.733 Zn
0.000 0.000 0.267 Zn
```

Symmetry = Pmmm
E_form = 0.41 eV/f.u.



No. 16
A plane-wave DFT calculation with meta-GGA SCAN was carried out for a PBEsol-optimized structure of ZrTaTc2.

POSCAR file:
```
ZrTaTc2
1.0
4.513 0.000 0.000
2.257 3.909 0.000
2.257 1.303 3.685
Tc Zr Ta
2 1 1
direct
0.250 0.250 0.250 Tc
0.750 0.750 0.750 Tc
0.000 0.000 0.000 Zr
0.500 0.500 0.500 Ta
```

Symmetry = Fm-3m
E_form = -2.14 eV/f.u.



No. 17
A plane-wave DFT calculation with meta-GGA SCAN was carried out for a PBEsol-optimized structure of LiRhSe2.

POSCAR file:
```
LiRhSe2
1.0
-1.486 0.676 -2.780
3.464 -0.600 -1.998
-0.366 -4.965 0.858
Li Rh Se
1 1 2
direct
0.470 0.375 0.941 Li
0.284 0.875 0.567 Rh
0.013 0.875 0.026 Se
0.733 0.375 0.467 Se
```

Formation energy without anion corrections = -439 meV/atom
Symmetry = Amm2



No. 18
A plane-wave DFT calculation with meta-GGA SCAN was carried out for a PBEsol-optimized structure of CaBe2Ni.

POSCAR file:
```
CaBe2Ni
1.0
2.877 0.000 0.000
0.000 2.877 0.000
0.000 0.000 6.480
Ni Ca Be
1 1 2
direct
0.500 0.500 0.835 Ni
0.000 0.000 0.512 Ca
0.000 0.000 0.986 Be
0.500 0.500 0.166 Be
```

Energy relative to the lowest polymorph listed for this composition = 338.1 meV per atom
Symmetry = P4mm
E_form = 0.71 eV/f.u.



No. 19
A plane-wave DFT calculation with meta-GGA SCAN was carried out for a PBEsol-optimized structure of Ga2FeH.

POSCAR file:
```
Ga2FeH
1.0
-0.907 2.711 2.872
1.066 -0.691 3.848
2.942 2.198 1.714
H Fe Ga
1 1 2
direct
0.000 0.000 0.000 H
0.500 0.500 0.500 Fe
0.250 0.250 0.250 Ga
0.750 0.750 0.750 Ga
```

Symmetry = Fm-3m



No. 20
A plane-wave DFT calculation with meta-GGA SCAN was carried out for a PBEsol-optimized structure of KNa2Au2.

POSCAR file:
```
KNa2Au2
1.0
3.566 0.000 0.000
0.000 8.390 0.000
0.000 0.000 8.390
Na K Au
4 2 4
direct
0.500 0.164 0.664 Na
0.500 0.664 0.836 Na
0.500 0.836 0.336 Na
0.500 0.336 0.164 Na
0.000 0.000 0.000 K
0.000 0.500 0.500 K
0.000 0.377 0.877 Au
0.000 0.877 0.623 Au
0.000 0.623 0.123 Au
0.000 0.123 0.377 Au
```

Energy relative to the lowest polymorph listed for this composition = 57.1 meV per atom
Symmetry = P4/mbm
E_form = -1.59 eV/f.u.



In eV per formula unit, the final energy values for the records above are, in order, -150.669 -66.123 -67.289 -86.632 -121.845 -113.312 -88.525 -220.148 -268.847 -84.197 -188.437 -54.231 -198.594 -110.099 -66.477 -169.538 -78.075 -33.836 -52.298 -156.661.